Crystalline MgVFeO4 at its relaxed geometry. Source: Alexandria via LeMat-Bulk, functional PBE with a Hubbard U.

a b c (Å): 6.0657 5.9881 5.9881
angles (deg): 61.96 59.57 59.57
Site moments in Bohr magnetons follow the coordinates.
Atoms (fractional coordinates):
1 V 0.6242 0.6258 0.1258  1.12
2 V 0.3758 0.3742 0.8742  1.12
3 O 0.2560 0.2425 0.2454  0.01
4 O 0.7559 0.2541 0.7541  0.01
5 O 0.7440 0.2546 0.2575  0.01
6 O 0.7641 0.7459 0.2459  0.01
7 O 0.2441 0.7459 0.2459  0.01
8 O 0.2359 0.2541 0.7541  0.01
9 O 0.2560 0.7454 0.7425  0.01
10 O 0.7440 0.7575 0.7546  0.01
11 Mg 0.0000 0.0000 0.0000  0.00
12 Mg 0.0000 0.5000 0.5000  0.00
13 Fe 0.0000 0.0000 0.5000  3.73
14 Fe 0.5000 0.0000 0.5000  3.73

Calculated values
final energy = -97.3 eV for the cell shown
symmetry = Imma, No. 74